Entry 1:
## BaSrIr (GGA-PBE)

Data for crystalline BaSrIr at its relaxed geometry.

Output
The formation energy is 0.0 eV/f.u. Its crystal system is triclinic. Its space group is P-1. Its relative energy among the computed polymorphs is 169 meV per atom.

Structure (POSCAR):
```
BaSrIr
1.0
-0.796 -3.724 -0.443
7.023 -1.288 -1.857
0.417 0.944 7.977
Sr Ba Ir
2 2 2
direct
0.552 0.106 0.871
0.326 0.998 0.418
0.320 0.492 0.408
0.558 0.612 0.880
0.939 0.809 0.644
0.939 0.295 0.645
```


Entry 2:
## ErNi4Au (GGA-PBE)

Data for crystalline ErNi4Au at its relaxed geometry.

Output
The formation energy is -2.4 eV/f.u. Its crystal system is cubic. Its space group is F-43m.

Structure (POSCAR):
```
ErNi4Au
1.0
-2.731 4.082 0.254
-4.501 -0.172 1.972
-0.859 2.116 4.355
Ni Er Au
4 1 1
direct
0.123 0.626 0.626
0.626 0.626 0.123
0.626 0.626 0.626
0.626 0.123 0.626
0.250 0.250 0.250
0.000 0.000 0.000
```


Entry 3:
## ReSnO3 (GGA-PBE)

Data for crystalline ReSnO3 at its relaxed geometry.

Output
Its final energy is -7.29 eV/atom. Its crystal system is cubic. Its space group is Pm-3m.

Structure (POSCAR):
```
ReSnO3
1.0
-2.650 1.152 2.722
-2.158 -3.252 -0.725
2.020 -1.964 2.797
O Sn Re
3 1 1
direct
0.000 0.000 0.500
0.000 0.500 0.000
0.500 0.000 0.000
0.500 0.500 0.500
0.000 0.000 0.000
```


Entry 4:
## Sm2ZnTe (GGA-PBE)

Data for crystalline Sm2ZnTe at its relaxed geometry.

Output
Its crystal system is orthorhombic. Its space group is Cmcm. Its relative energy among the computed polymorphs is 0 meV per atom.

Structure (POSCAR):
```
Sm2ZnTe
1.0
4.425 0.000 0.000
0.000 4.231 -0.752
0.000 -0.023 12.161
Sm Zn Te
4 2 2
direct
0.750 0.671 0.342
0.250 0.329 0.658
0.750 0.938 0.875
0.250 0.062 0.125
0.750 0.538 0.075
0.250 0.462 0.925
0.750 0.806 0.611
0.250 0.194 0.389
```


Sequential DOS(E_F) output: 4.54; 6.73; 3.42; 7.97 states/eV per cell